(1)
DFT (PBE) results for crystalline Tl2SiCl2F4 at its relaxed geometry.

Values from the calculation:
Its calculated volume is 21.3 A^3/atom. For the total magnetization, the calculation gives 0.00 μB per atom. The calculation puts the uncorrected formation energy at -1837 kJ/mol of formula units. The calculation puts the calculated total energy at -40.37 eV for the cell shown.

a = 5.5130 Å, b = 6.3160 Å, c = 6.3160 Å
α = 60.71°, β = 91.61°, γ = 91.61°
Last column: nearest neighbours and their distance in Å.
Fractional positions:
Si 0.5000 0.0000 0.0000  4 F 1.69
Tl 0.2227 0.6578 0.6578  4 Cl 3.11-3.40, 6 F 3.12-3.46
Tl 0.7773 0.3422 0.3422  4 Cl 3.11-3.40, 6 F 3.12-3.46
Cl 0.7026 0.8167 0.8167  1 Si 2.32
Cl 0.2974 0.1833 0.1833  1 Si 2.32
F 0.3121 0.1310 0.7554  1 Si 1.69
F 0.6879 0.8690 0.2446  1 Si 1.69
F 0.6879 0.2446 0.8690  1 Si 1.69
F 0.3121 0.7554 0.1310  1 Si 1.69



(2)
DFT (PBE) results for crystalline TlSiClF6 at its relaxed geometry.

Values from the calculation:
Its calculated volume is 14.9 A^3/atom. For the total magnetization, the calculation gives 0.01 μB per atom. The calculation puts the uncorrected formation energy at -1990 kJ/mol of formula units. The calculation puts the calculated total energy at -41.49 eV for the cell shown.

a = 5.4804 Å, b = 7.1500 Å, c = 4.6854 Å
α = 98.45°, β = 91.82°, γ = 47.87°
Last column: nearest neighbours and their distance in Å.
Fractional positions:
F 0.0640 0.4295 0.2353  1 Si 1.76
F 0.6295 0.0425 0.3058  1 Si 1.71
F 0.1704 0.2068 0.6248  1 Si 1.77
F 0.9779 0.6340 0.7108  1 Si 1.78
F 0.4560 0.4734 0.3838  1 Si 1.71
F 0.5498 0.2648 0.7899  1 Si 1.63
Si 0.3310 0.3353 0.5132  6 F 1.63-1.78
Tl 0.5391 0.7702 0.4549  5 F 2.28-2.50, 1 Cl 2.52
Cl 0.2823 0.8435 0.9814  2 Tl 2.52-2.68



Which of these has the highest calculated total energy?
Tl2SiCl2F4